The following is a PBE calculation of an optimized crystal structure of ZrRe2Os, from Alexandria via LeMat-Bulk.

Calculated values
Density: 16.60 g/cm3
SG: No. 166
Calculated total energy: -10.9455 eV/atom
Distance to the lowest polymorph of the same formula: 177.6 meV per atom
Size of the total moment: 0.00 μB/atom

The structure in extended XYZ format:
```
4
Lattice="1.4068 0.8122 9.5396 -1.4068 0.8122 9.5396 0.0000 -1.6245 9.5396" Properties=species:S:1:pos:R:3 pbc="T T T"
Zr 0.0000 0.0000 0.0000
Re 0.0000 0.0000 6.9148
Re 0.0000 0.0000 21.7041
Os 0.0000 0.0000 14.3094
```


The following is a PBE calculation of an optimized crystal structure of ZrRe2Os, from Alexandria via LeMat-Bulk.

Calculated values
Density: 16.53 g/cm3
SG: No. 139
Calculated total energy: -10.9907 eV/atom
Distance to the lowest polymorph of the same formula: 132.5 meV per atom
Size of the total moment: 0.00 μB/atom

The structure in extended XYZ format:
```
4
Lattice="-1.9496 1.9496 4.3191 1.9496 -1.9496 4.3191 1.9496 1.9496 -4.3191" Properties=species:S:1:pos:R:3 pbc="T T T"
Zr 0.0000 0.0000 0.0000
Re 1.9496 0.0000 2.1596
Re 0.0000 1.9496 2.1596
Os 0.0000 0.0000 4.3191
```


The following is a PBE calculation of an optimized crystal structure of ZrRe2Os, from Alexandria via LeMat-Bulk.

Calculated values
Density: 16.65 g/cm3
SG: No. 71
Calculated total energy: -11.0742 eV/atom
Distance to the lowest polymorph of the same formula: 49.0 meV per atom
Size of the total moment: 0.00 μB/atom

The structure in extended XYZ format:
```
4
Lattice="-1.6057 2.2339 4.5440 1.6057 -2.2339 4.5440 1.6057 2.2339 -4.5440" Properties=species:S:1:pos:R:3 pbc="T T T"
Zr 0.0000 0.0000 0.0000
Re 1.6057 0.0000 2.2609
Re 0.0000 2.2339 2.2831
Os 0.0000 0.0000 4.5440
```


The following is a PBE calculation of an optimized crystal structure of ZrReOs2, from Alexandria via LeMat-Bulk.

Calculated values
Density: 16.74 g/cm3
SG: No. 99
Calculated total energy: -10.7696 eV/atom
Distance to the lowest polymorph of the same formula: 119.8 meV per atom
Size of the total moment: 0.00 μB/atom

The structure in extended XYZ format:
```
4
Lattice="2.8114 0.0000 0.0000 0.0000 2.8114 0.0000 0.0000 0.0000 8.2552" Properties=species:S:1:pos:R:3 pbc="T T T"
Zr 0.0000 0.0000 0.0000
Re 1.4057 1.4057 5.9425
Os 0.0000 0.0000 4.0740
Os 1.4057 1.4057 2.2661
```


The following is a PBE calculation of an optimized crystal structure of ZrReOs2, from Alexandria via LeMat-Bulk.

Calculated values
Density: 16.93 g/cm3
SG: No. 47
Calculated total energy: -10.6798 eV/atom
Distance to the lowest polymorph of the same formula: 209.6 meV per atom
Size of the total moment: 0.01 μB/atom

The structure in extended XYZ format:
```
4
Lattice="3.1101 0.0000 0.0000 0.0000 4.4937 0.0000 0.0000 0.0000 4.6170" Properties=species:S:1:pos:R:3 pbc="T T T"
Zr 0.0000 0.0000 0.0000
Re 1.5551 0.0000 2.3085
Os 0.0000 2.2469 2.3085
Os 1.5551 2.2469 0.0000
```


The following is a PBE calculation of an optimized crystal structure of ZrRe2Os, from Alexandria via LeMat-Bulk.

Calculated values
Density: 16.68 g/cm3
SG: No. 160
Calculated total energy: -10.9719 eV/atom
Distance to the lowest polymorph of the same formula: 151.3 meV per atom
Size of the total moment: 0.00 μB/atom

The structure in extended XYZ format:
```
4
Lattice="1.4085 0.8132 9.4737 -1.4085 0.8132 9.4737 0.0000 -1.6264 9.4737" Properties=species:S:1:pos:R:3 pbc="T T T"
Zr 0.0000 0.0000 0.0000
Re 0.0000 0.0000 6.8717
Re 0.0000 0.0000 14.1750
Os 0.0000 0.0000 21.4957
```


The following is a PBE calculation of an optimized crystal structure of ZrReOs2, from Alexandria via LeMat-Bulk.

Calculated values
Density: 16.90 g/cm3
SG: No. 123
Calculated total energy: -10.7501 eV/atom
Distance to the lowest polymorph of the same formula: 139.3 meV per atom
Size of the total moment: 0.00 μB/atom

The structure in extended XYZ format:
```
4
Lattice="4.6348 0.0000 0.0000 0.0000 4.6348 0.0000 0.0000 0.0000 3.0091" Properties=species:S:1:pos:R:3 pbc="T T T"
Zr 0.0000 0.0000 0.0000
Re 2.3174 2.3174 0.0000
Os 0.0000 2.3174 1.5045
Os 2.3174 0.0000 1.5045
```


The following is a PBE calculation of an optimized crystal structure of ZrRe2Os, from Alexandria via LeMat-Bulk.

Calculated values
Density: 16.69 g/cm3
SG: No. 65
Calculated total energy: -10.9440 eV/atom
Distance to the lowest polymorph of the same formula: 179.2 meV per atom
Size of the total moment: 0.00 μB/atom

The structure in extended XYZ format:
```
4
Lattice="2.7935 -4.0199 0.0000 2.7935 4.0199 0.0000 0.0000 0.0000 2.8966" Properties=species:S:1:pos:R:3 pbc="T T T"
Zr 0.0000 0.0000 0.0000
Re 1.3968 2.0100 1.4483
Re 1.3968 -2.0100 1.4483
Os 2.7935 0.0000 0.0000
```


The following is a PBE calculation of an optimized crystal structure of Zr2ReOs, from Alexandria via LeMat-Bulk.

Calculated values
Density: 12.74 g/cm3
SG: No. 119
Calculated total energy: -10.2168 eV/atom
Size of the total moment: 0.00 μB/atom

The structure in extended XYZ format:
```
4
Lattice="-1.9506 1.9506 4.7874 1.9506 -1.9506 4.7874 1.9506 1.9506 -4.7874" Properties=species:S:1:pos:R:3 pbc="T T T"
Zr 0.0000 0.0000 0.0000
Zr 0.0000 1.9506 2.3937
Re 0.0000 0.0000 4.7874
Os 1.9506 0.0000 2.3937
```


The following is a PBE calculation of an optimized crystal structure of Zr2ReOs, from Alexandria via LeMat-Bulk.

Calculated values
Density: 12.95 g/cm3
SG: No. 123
Calculated total energy: -10.5625 eV/atom
Size of the total moment: 0.00 μB/atom

The structure in extended XYZ format:
```
4
Lattice="3.2917 0.0000 0.0000 0.0000 3.2917 0.0000 0.0000 0.0000 6.6133" Properties=species:S:1:pos:R:3 pbc="T T T"
Zr 0.0000 0.0000 1.6549
Zr 0.0000 0.0000 4.9584
Re 1.6458 1.6458 0.0000
Os 1.6458 1.6458 3.3067
```


The following is a PBE calculation of an optimized crystal structure of Zr4ReOs, from Alexandria via LeMat-Bulk.

Calculated values
Density: 10.50 g/cm3
SG: No. 216
Calculated total energy: -8.8966 eV/atom
Distance to the lowest polymorph of the same formula: 976.0 meV per atom
Size of the total moment: 0.00 μB/atom

The structure in extended XYZ format:
```
6
Lattice="0.0000 3.8845 3.8845 3.8845 0.0000 3.8845 3.8845 3.8845 0.0000" Properties=species:S:1:pos:R:3 pbc="T T T"
Zr 0.9699 0.9699 0.9699
Zr 2.9146 2.9146 0.9699
Zr 2.9146 0.9699 2.9146
Zr 0.9699 2.9146 2.9146
Re 3.8845 3.8845 3.8845
Os 5.8267 5.8267 5.8267
```


The following is a PBE calculation of an optimized crystal structure of Zr6ReOs, from Alexandria via LeMat-Bulk.

Calculated values
Density: 9.36 g/cm3
SG: No. 139
Calculated total energy: -9.5499 eV/atom
Size of the total moment: 0.00 μB/atom

The structure in extended XYZ format:
```
8
Lattice="-2.3403 2.3403 7.4792 2.3403 -2.3403 7.4792 2.3403 2.3403 -7.4792" Properties=species:S:1:pos:R:3 pbc="T T T"
Zr 2.3403 0.0000 1.6163
Zr 0.0000 0.0000 3.7048
Zr 2.3403 0.0000 5.8630
Zr 0.0000 2.3403 1.6163
Zr 0.0000 0.0000 11.2537
Zr 0.0000 2.3403 5.8630
Re 0.0000 0.0000 0.0000
Os 0.0000 0.0000 7.4792
```


| no. | energy of formation from the pure elements (kcal/mol of atoms) | calculated volume (Å³/f.u.) |
| --- | --- | --- |
| 1 | 5.14 | 65.4 |
| 2 | 4.10 | 65.7 |
| 3 | 2.18 | 65.2 |
| 4 | 2.17 | 65.2 |
| 5 | 4.25 | 64.5 |
| 6 | 4.53 | 65.1 |
| 7 | 2.63 | 64.6 |
| 8 | 5.18 | 65.1 |
| 9 | -0.54 | 72.9 |
| 10 | -8.51 | 71.7 |
| 11 | 17.26 | 117.2 |
| 12 | -4.13 | 163.9 |